No. 1
VASP calculation (GGA-PBE) on crystalline Ba2NaCl at its relaxed geometry.

Computed properties:
E_form (uncorrected)	-3.006	eV/f.u.
energy	-10.0	eV per formula unit

Lattice parameters (Å, degrees): 8.109 8.109 8.109 108.20 108.20 112.04
Fractional coordinates of all 8 atoms:
Ba  0.051  0.625  0.926
Ba  0.375  0.301  0.426
Ba  0.699  0.125  0.074
Ba  0.875  0.949  0.574
Na  0.250  0.750  0.500
Na  0.500  0.500  0.000
Cl  0.000  0.000  0.000
Cl  0.750  0.250  0.500

=====

No. 2
VASP calculation (GGA-PBE) on crystalline Ba2NaCl at its relaxed geometry.

Computed properties:
E_form (uncorrected)	-3.237	eV/f.u.
energy	-10.2	eV per formula unit

Lattice parameters (Å, degrees): 10.899 10.899 10.899 23.41 23.41 23.41
Fractional coordinates of all 4 atoms:
Ba  0.234  0.234  0.234
Ba  0.766  0.766  0.766
Na  0.000  0.000  0.000
Cl  0.500  0.500  0.500

=====

No. 3
VASP calculation (GGA-PBE) on crystalline Ba2Na2Cl at its relaxed geometry.

Computed properties:
E_form (uncorrected)	-1.931	eV/f.u.
energy	-10.3	eV per formula unit

Lattice parameters (Å, degrees): 8.043 8.043 6.858 90.00 90.00 90.00
Fractional coordinates of all 10 atoms:
Ba  0.175  0.325  0.000
Ba  0.325  0.825  0.000
Ba  0.675  0.175  0.000
Ba  0.825  0.675  0.000
Na  0.153  0.653  0.500
Na  0.347  0.153  0.500
Na  0.653  0.847  0.500
Na  0.847  0.347  0.500
Cl  0.000  0.000  0.500
Cl  0.500  0.500  0.500

=====

No. 4
VASP calculation (GGA-PBE) on crystalline Ba3Na5Cl12 at its relaxed geometry.

Computed properties:
E_form (uncorrected)	-39.194	eV/f.u.
energy	-73.7	eV per formula unit

Lattice parameters (Å, degrees): 14.819 14.819 14.819 109.47 109.47 109.47
Fractional coordinates of all 80 atoms:
Ba  0.125  0.250  0.375
Ba  0.125  0.375  0.750
Ba  0.250  0.375  0.125
Ba  0.250  0.875  0.625
Ba  0.375  0.125  0.250
Ba  0.375  0.750  0.125
Ba  0.625  0.250  0.875
Ba  0.625  0.875  0.750
Ba  0.750  0.125  0.375
Ba  0.750  0.625  0.875
Ba  0.875  0.625  0.250
Ba  0.875  0.750  0.625
Na  0.000  0.000  0.000
Na  0.000  0.000  0.500
Na  0.000  0.500  0.000
Na  0.000  0.500  0.500
Na  0.125  0.750  0.875
Na  0.125  0.875  0.250
Na  0.250  0.125  0.875
Na  0.250  0.625  0.375
Na  0.375  0.250  0.625
Na  0.375  0.625  0.750
Na  0.500  0.000  0.000
Na  0.500  0.000  0.500
Na  0.500  0.500  0.000
Na  0.500  0.500  0.500
Na  0.625  0.375  0.250
Na  0.625  0.750  0.375
Na  0.750  0.375  0.625
Na  0.750  0.875  0.125
Na  0.875  0.125  0.750
Na  0.875  0.250  0.125
Cl  0.042  0.218  0.130
Cl  0.042  0.324  0.912
Cl  0.088  0.630  0.412
Cl  0.088  0.718  0.676
Cl  0.088  0.870  0.412
Cl  0.088  0.958  0.676
Cl  0.130  0.042  0.218
Cl  0.130  0.588  0.912
Cl  0.176  0.218  0.588
Cl  0.176  0.458  0.588
Cl  0.218  0.130  0.042
Cl  0.218  0.588  0.176
Cl  0.282  0.324  0.912
Cl  0.282  0.458  0.370
Cl  0.324  0.912  0.042
Cl  0.324  0.912  0.282
Cl  0.370  0.282  0.458
Cl  0.370  0.588  0.912
Cl  0.412  0.088  0.630
Cl  0.412  0.088  0.870
Cl  0.412  0.824  0.542
Cl  0.412  0.824  0.782
Cl  0.458  0.370  0.282
Cl  0.458  0.588  0.176
Cl  0.542  0.412  0.824
Cl  0.542  0.630  0.718
Cl  0.588  0.176  0.218
Cl  0.588  0.176  0.458
Cl  0.588  0.912  0.130
Cl  0.588  0.912  0.370
Cl  0.630  0.412  0.088
Cl  0.630  0.718  0.542
Cl  0.676  0.088  0.718
Cl  0.676  0.088  0.958
Cl  0.718  0.542  0.630
Cl  0.718  0.676  0.088
Cl  0.782  0.412  0.824
Cl  0.782  0.870  0.958
Cl  0.824  0.542  0.412
Cl  0.824  0.782  0.412
Cl  0.870  0.412  0.088
Cl  0.870  0.958  0.782
Cl  0.912  0.042  0.324
Cl  0.912  0.130  0.588
Cl  0.912  0.282  0.324
Cl  0.912  0.370  0.588
Cl  0.958  0.676  0.088
Cl  0.958  0.782  0.870

=====

No. 5
VASP calculation (GGA-PBE) on crystalline Ba5Na3Cl12 at its relaxed geometry.

Computed properties:
E_form (uncorrected)	-40.737	eV/f.u.
energy	-76.5	eV per formula unit

Lattice parameters (Å, degrees): 15.870 15.870 15.870 109.47 109.47 109.47
Fractional coordinates of all 80 atoms:
Ba  0.000  0.000  0.000
Ba  0.000  0.000  0.500
Ba  0.000  0.500  0.000
Ba  0.000  0.500  0.500
Ba  0.125  0.750  0.875
Ba  0.125  0.875  0.250
Ba  0.250  0.125  0.875
Ba  0.250  0.625  0.375
Ba  0.375  0.250  0.625
Ba  0.375  0.625  0.750
Ba  0.500  0.000  0.000
Ba  0.500  0.000  0.500
Ba  0.500  0.500  0.000
Ba  0.500  0.500  0.500
Ba  0.625  0.375  0.250
Ba  0.625  0.750  0.375
Ba  0.750  0.375  0.625
Ba  0.750  0.875  0.125
Ba  0.875  0.125  0.750
Ba  0.875  0.250  0.125
Na  0.125  0.250  0.375
Na  0.125  0.375  0.750
Na  0.250  0.375  0.125
Na  0.250  0.875  0.625
Na  0.375  0.125  0.250
Na  0.375  0.750  0.125
Na  0.625  0.250  0.875
Na  0.625  0.875  0.750
Na  0.750  0.125  0.375
Na  0.750  0.625  0.875
Na  0.875  0.625  0.250
Na  0.875  0.750  0.625
Cl  0.050  0.225  0.121
Cl  0.050  0.325  0.929
Cl  0.071  0.621  0.396
Cl  0.071  0.950  0.675
Cl  0.104  0.725  0.675
Cl  0.104  0.879  0.429
Cl  0.121  0.050  0.225
Cl  0.121  0.571  0.896
Cl  0.175  0.225  0.604
Cl  0.175  0.450  0.571
Cl  0.225  0.121  0.050
Cl  0.225  0.604  0.175
Cl  0.275  0.325  0.896
Cl  0.275  0.450  0.379
Cl  0.325  0.896  0.275
Cl  0.325  0.929  0.050
Cl  0.379  0.275  0.450
Cl  0.379  0.604  0.929
Cl  0.396  0.071  0.621
Cl  0.396  0.825  0.775
Cl  0.429  0.104  0.879
Cl  0.429  0.825  0.550
Cl  0.450  0.379  0.275
Cl  0.450  0.571  0.175
Cl  0.550  0.429  0.825
Cl  0.550  0.621  0.725
Cl  0.571  0.175  0.450
Cl  0.571  0.896  0.121
Cl  0.604  0.175  0.225
Cl  0.604  0.929  0.379
Cl  0.621  0.396  0.071
Cl  0.621  0.725  0.550
Cl  0.675  0.071  0.950
Cl  0.675  0.104  0.725
Cl  0.725  0.550  0.621
Cl  0.725  0.675  0.104
Cl  0.775  0.396  0.825
Cl  0.775  0.879  0.950
Cl  0.825  0.550  0.429
Cl  0.825  0.775  0.396
Cl  0.879  0.429  0.104
Cl  0.879  0.950  0.775
Cl  0.896  0.121  0.571
Cl  0.896  0.275  0.325
Cl  0.929  0.050  0.325
Cl  0.929  0.379  0.604
Cl  0.950  0.675  0.071
Cl  0.950  0.775  0.879

=====

No. 6
VASP calculation (GGA-PBE) on crystalline BaNa3Cl at its relaxed geometry.

Computed properties:
E_form (uncorrected)	1.643	eV/f.u.
energy	-6.1	eV per formula unit

Lattice parameters (Å, degrees): 7.369 7.369 7.369 90.00 90.00 90.00
Fractional coordinates of all 5 atoms:
Ba  0.000  0.000  0.000
Na  0.000  0.000  0.500
Na  0.000  0.500  0.000
Na  0.500  0.000  0.000
Cl  0.500  0.500  0.500